Record 1
VASP calculation (GGA-PBE) on a relaxed Pr2Sm2Se5 crystal.

Unit cell a=7.8871 b=8.4852 c=8.4852 alpha=124.43 beta=90.00 gamma=90.00
Atoms (fractional coordinates):
Pr (0.0000, 0.1974, 0.8026)
Pr (0.5000, 0.6974, 0.3026)
Pr (0.0000, 0.8026, 0.1974)
Pr (0.5000, 0.3026, 0.6974)
Se (0.8462, 0.5213, 0.7951)
Se (0.3462, 0.9787, 0.7049)
Se (0.3462, 0.7049, 0.9787)
Se (0.5000, 0.5000, 0.5000)
Se (0.8462, 0.7951, 0.5213)
Se (0.1538, 0.2049, 0.4787)
Se (0.1538, 0.4787, 0.2049)
Se (0.6538, 0.2951, 0.0213)
Se (0.0000, 0.0000, 0.0000)
Se (0.6538, 0.0213, 0.2951)
Sm (0.1569, 0.6515, 0.6515)
Sm (0.6569, 0.8485, 0.8485)
Sm (0.8431, 0.3485, 0.3485)
Sm (0.3431, 0.1515, 0.1515)

## Properties
The space group is Cmce (64). For the energy relative to the elements, uncorrected, the calculation gives -16.17 eV per formula unit. Its crystal system is orthorhombic. Its mass density is 6929 kg/m3. Its raw total energy is -5.8434 eV per atom. The value obtained for the size of the total moment is 0.0 μB/cell.

---

Record 2
VASP calculation (GGA-PBE) on a relaxed Nd2Sm3Th2 crystal.

Unit cell a=3.6311 b=11.4552 c=6.2848 alpha=100.54 beta=106.92 gamma=71.61
Atoms (fractional coordinates):
Th (0.8526, 0.8634, 0.4310)
Th (0.1474, 0.1366, 0.5690)
Nd (0.7080, 0.7170, 0.8524)
Nd (0.2920, 0.2830, 0.1476)
Sm (0.0000, 0.0000, 0.0000)
Sm (0.5672, 0.5782, 0.2888)
Sm (0.4328, 0.4218, 0.7112)

## Properties
The formation energy comes out at 0.04 eV/atom. The space group is P-1 (2). Its crystal system is triclinic. Its mass density is 8465 kg/m3. Its raw total energy is -5.4614 eV per atom. The value obtained for the size of the total moment is 0.0 μB/cell.

---

Record 3
VASP calculation (GGA-PBE) on a relaxed BeCu3Pd6 crystal.

Unit cell a=7.2031 b=5.1429 c=7.5748 alpha=90.00 beta=90.74 gamma=90.00
Atoms (fractional coordinates):
Pd (0.1652, 0.3886, 0.0584)
Pd (0.8348, 0.6114, 0.9416)
Pd (0.3172, 0.9091, 0.0643)
Pd (0.1496, 0.7333, 0.7573)
Pd (0.3504, 0.2333, 0.7427)
Pd (0.3348, 0.8886, 0.4416)
Pd (0.6828, 0.0909, 0.9357)
Pd (0.6496, 0.7667, 0.2573)
Pd (0.1828, 0.4091, 0.4357)
Pd (0.8172, 0.5909, 0.5643)
Pd (0.8504, 0.2667, 0.2427)
Pd (0.6652, 0.1114, 0.5584)
Be (0.0000, 0.0000, 0.0000)
Be (0.5000, 0.5000, 0.5000)
Cu (0.0111, 0.7487, 0.2401)
Cu (0.5111, 0.7513, 0.7401)
Cu (0.9889, 0.2513, 0.7599)
Cu (0.0000, 0.0000, 0.5000)
Cu (0.5000, 0.5000, 0.0000)
Cu (0.4889, 0.2487, 0.2599)

## Properties
The formation energy comes out at -0.08 eV/atom. The space group is P2_1/c (14). Its energy above the lowest structure with this stoichiometry is 104 meV per atom. Its crystal system is monoclinic. Its mass density is 9921 kg/m3. Its raw total energy is -4.7979 eV per atom. The value obtained for the size of the total moment is 0.0 μB/cell.

---

Record 4
VASP calculation (GGA-PBE) on a relaxed LiTcPt2 crystal.

Unit cell a=4.7833 b=4.7833 c=4.7619 alpha=82.47 beta=82.47 gamma=32.90
Atoms (fractional coordinates):
Tc (0.5134, 0.5134, 0.4615)
Pt (0.9914, 0.9914, 0.9513)
Pt (0.2541, 0.2541, 0.2940)
Li (0.7411, 0.7411, 0.7932)

## Properties
The formation energy comes out at -0.31 eV/atom. The space group is Cm (8). Its energy above the lowest structure with this stoichiometry is 32 meV per atom. Its crystal system is monoclinic. Its mass density is 14023 kg/m3. Its raw total energy is -6.3988 eV per atom. The value obtained for the size of the total moment is 0.0 μB/cell.

---

Record 5
VASP calculation (GGA-PBE) on a relaxed Cs6Rb3F crystal.

Unit cell a=8.8829 b=15.2904 c=15.2904 alpha=115.33 beta=90.00 gamma=90.00
Atoms (fractional coordinates):
Cs (0.1064, 0.7492, 0.5778)
Cs (0.7311, 0.8959, 0.3920)
Cs (0.2311, 0.1041, 0.6080)
Cs (0.1121, 0.0967, 0.9033)
Cs (0.7311, 0.6080, 0.1041)
Cs (0.1064, 0.4222, 0.2508)
Cs (0.7885, 0.2391, 0.7609)
Cs (0.2311, 0.3920, 0.8959)
Cs (0.6064, 0.5778, 0.7492)
Cs (0.6121, 0.9033, 0.0967)
Cs (0.2885, 0.7609, 0.2391)
Cs (0.6064, 0.2508, 0.4222)
F (0.0940, 0.2072, 0.7928)
F (0.5940, 0.7928, 0.2072)
Rb (0.6038, 0.5773, 0.4227)
Rb (0.1038, 0.4227, 0.5773)
Rb (0.6060, 0.9096, 0.7521)
Rb (0.1060, 0.0904, 0.2479)
Rb (0.6060, 0.2479, 0.0904)
Rb (0.1060, 0.7521, 0.9096)

## Properties
The space group is Cmc2_1 (36). For the energy relative to the elements, uncorrected, the calculation gives -5.21 eV per formula unit. Its crystal system is orthorhombic. Its mass density is 1898 kg/m3. Its raw total energy is -1.5101 eV per atom. The value obtained for the size of the total moment is 0.0 μB/cell.

---

Record 6
VASP calculation (GGA-PBE) on a relaxed Ta3Pt4 crystal.

Unit cell a=3.3856 b=10.5222 c=3.3856 alpha=80.74 beta=90.00 gamma=99.26
Atoms (fractional coordinates):
Pt (0.8559, 0.7119, 0.1441)
Pt (0.4325, 0.8650, 0.5675)
Pt (0.5675, 0.1350, 0.4325)
Pt (0.1441, 0.2881, 0.8559)
Ta (0.0000, 0.0000, 0.0000)
Ta (0.2932, 0.5864, 0.7068)
Ta (0.7068, 0.4136, 0.2932)

## Properties
The formation energy comes out at -0.69 eV/atom. The space group is I4/mmm (139). Its energy above the lowest structure with this stoichiometry is 0 meV per atom. Its crystal system is tetragonal. Its mass density is 18709 kg/m3. Its raw total energy is -9.2181 eV per atom. The value obtained for the size of the total moment is 0.0 μB/cell.